Record 1
Ce2PrNdSb4 | PBE | optimized geometry

Unit cell a=7.8307 b=4.5186 c=7.8315 alpha=90.00 beta=109.45 gamma=90.00
With the nearest neighbours (Å) after each atom.
Space group P2/m (No. 10)
Asymmetric unit:
Ce  0.0000  0.0000  0.0000 x1  6 Sb 3.18
Ce  0.5000  0.5000  0.0000 x1  6 Sb 3.17
Pr  0.0000  0.5000  0.5000 x1  6 Sb 3.22
Nd  0.5000  0.0000  0.5000 x1  6 Sb 3.21
Sb  0.2497  0.5000  0.2460 x2  3 Ce 3.17-3.18, 2 Nd 3.21, 1 Pr 3.22
Sb  0.2526  0.0000  0.7547 x2  3 Ce 3.17-3.18, 1 Nd 3.21, 2 Pr 3.22

Calculated volume (Å³/atom): 32.661
Formation energy (no corrections) (eV per atom): -1.12
Final energy (eV/atom): -5.860


Record 2
LiSm12In4O3 | PBE | optimized geometry

Unit cell a=10.0634 b=10.0634 c=10.0634 alpha=90.00 beta=90.00 gamma=90.00
With the nearest neighbours (Å) after each atom.
Space group Im-3m (No. 229)
Asymmetric unit:
Li  0.0000  0.0000  0.0000 x2  6 Sm 2.66
Sm  0.0000  0.0000  0.2646 x12  1 O 2.37
Sm  0.0000  0.2500  0.5000 x12  2 O 2.52
In  0.2500  0.2500  0.2500 x8  12 Sm 3.56
O  0.0000  0.0000  0.5000 x6  6 Sm 2.37-2.52

Calculated volume (Å³/atom): 25.479
Formation energy (no corrections) (eV per atom): -0.94
Final energy (eV/atom): -5.164


Record 3
BaInRuO6 | PBE | optimized geometry

Unit cell a=5.5379 b=5.5379 c=5.5957 alpha=90.00 beta=90.00 gamma=120.00
With the nearest neighbours (Å) after each atom.
Space group P312 (No. 149)
Asymmetric unit:
Ba  0.0000  0.0000  0.0000 x1  6 O 2.74
In  0.3333  0.6667  0.5000 x1  6 O 2.18
Ru  0.6667  0.3333  0.5000 x1  6 O 1.91
O  0.4073  0.0348  0.6994 x6  1 Ru 1.91

Calculated volume (Å³/atom): 16.513
Formation energy (no corrections) (eV per atom): -1.39
Final energy (eV/atom): -6.239


Record 4
GdTmO3 | PBE | optimized geometry

Unit cell a=5.9464 b=8.3746 c=5.6869 alpha=90.00 beta=90.00 gamma=90.00
With the nearest neighbours (Å) after each atom.
Space group Pnma (No. 62)
Asymmetric unit:
Gd  0.0531  0.2500  0.0190 x4  4 O 2.27-2.41
Tm  0.0000  0.0000  0.5000 x4  6 O 2.20-2.28
O  0.0713  0.7500  0.3578 x4  2 Gd 2.27-2.41, 2 Tm 2.28
O  0.1907  0.5756  0.8126 x8  2 Tm 2.20-2.22, 1 Gd 2.27

Calculated volume (Å³/atom): 14.160
Formation energy (no corrections) (eV per atom): -3.51
Final energy (eV/atom): -10.194


Record 5
ZnS5I | PBE | optimized geometry

Unit cell a=3.9953 b=6.2548 c=9.3383 alpha=98.44 beta=97.01 gamma=106.49
With the nearest neighbours (Å) after each atom.
Space group P1 (No. 1)
Asymmetric unit:
Zn  0.0000  0.0000  0.0000 x1  2 S 2.25-2.30
S  0.0550  0.0079  0.2844 x1  1 S 1.91
S  0.2045  0.3198  0.3779 x1  1 S 1.91
S  0.4126  0.8390  0.9227 x1  2 Zn 2.25-2.30
S  0.5571  0.9257  0.4751 x1  1 S 1.88
S  0.7383  0.2358  0.5621 x1  1 S 1.88
I  0.4192  0.3741  0.9395 x1  1 Zn 2.64, 1 S 2.94

Calculated volume (Å³/atom): 31.146
Formation energy (no corrections) (eV per atom): -0.04
Final energy (eV/atom): -3.389


Record 6
Re5Rh | PBE | optimized geometry

Unit cell a=7.2257 b=7.2257 c=7.2257 alpha=90.00 beta=90.00 gamma=90.00
With the nearest neighbours (Å) after each atom.
Space group F-43m (No. 216)
Asymmetric unit:
Re  0.0000  0.0000  0.0000 x4  12 Re 3.00, 4 Rh 3.13
Re  0.1241  0.1241  0.3759 x16  6 Re 2.54-2.57
Rh  0.2500  0.2500  0.7500 x4  16 Re 2.99-3.13

Calculated volume (Å³/atom): 15.719
Offset from the most stable computed form (eV/atom): 0.437
Energy of formation (eV/atom): 0.37
Final energy (eV/atom): -11.229


Record 7
NaTmPaSe4 | PBE | optimized geometry

Unit cell a=8.3829 b=8.6407 c=11.9297 alpha=90.00 beta=90.00 gamma=90.00
With the nearest neighbours (Å) after each atom.
Space group Imma (No. 74)
Asymmetric unit:
Na  0.0000  0.2500  0.1339 x4  4 Se 2.84-2.86
Tm  0.2500  0.2500  0.7500 x4  6 Se 2.85-2.86
Pa  0.0000  0.0000  0.5000 x4  6 Se 2.86-2.89
Se  0.0000  0.0275  0.7390 x8  1 Na 2.84, 2 Tm 2.85, 1 Pa 2.86
Se  0.2281  0.2500  0.5109 x8  1 Tm 2.86, 1 Na 2.86, 2 Pa 2.89

Calculated volume (Å³/atom): 30.861
Formation energy (no corrections) (eV per atom): -1.51
Final energy (eV/atom): -5.687


Record 8
CuNi4W2 | PBE | optimized geometry

Unit cell a=4.3950 b=4.3950 c=11.6784 alpha=90.00 beta=90.00 gamma=90.00
With the nearest neighbours (Å) after each atom.
Space group I4/mmm (No. 139)
Asymmetric unit:
Cu  0.0000  0.0000  0.0000 x2  6 Ni 2.20-2.29
Ni  0.0000  0.0000  0.1960 x4  1 Cu 2.29, 1 W 2.34
Ni  0.0000  0.5000  0.0000 x4  2 Cu 2.20
W  0.0000  0.0000  0.3964 x4  5 Ni 2.34-2.51, 1 W 2.42

Calculated volume (Å³/atom): 16.112
Energy of formation (eV/atom): 1.16
Final energy (eV/atom): -6.425